No. 1
Here is a geometry-optimized LiAcErSe3 structure from Alexandria. Energies are from PBE.

a b c (Å): 8.5961 4.1206 9.0593
angles (deg): 90.00 104.69 90.00
Positions (direct):
Li (0.0884, 0.2500, 0.0879)
Li (0.9116, 0.7500, 0.9121)
Ac (0.1936, 0.2500, 0.7307)
Ac (0.8064, 0.7500, 0.2693)
Er (0.3331, 0.7500, 0.3448)
Er (0.6669, 0.2500, 0.6552)
Se (0.1034, 0.2500, 0.3675)
Se (0.2189, 0.7500, 0.0123)
Se (0.4450, 0.7500, 0.6734)
Se (0.5550, 0.2500, 0.3266)
Se (0.7811, 0.2500, 0.9877)
Se (0.8966, 0.7500, 0.6325)

Properties
theoretical density	6.8	Mg/m³
Fermi-level density of states	5.24	states/eV/cell
energy relative to the elements, uncorrected	-10.25	eV/f.u.
crystal system	monoclinic
symmetry	P2_1/m, No. 11

=====

No. 2
Here is a geometry-optimized Li3AcEr2Se6 structure from Alexandria. Energies are from PBE.

a b c (Å): 7.2504 7.2504 6.9439
angles (deg): 99.83 99.83 120.13
Positions (direct):
Li (0.0000, 0.0000, 0.0000)
Li (0.3257, 0.6743, 0.0000)
Li (0.6743, 0.3257, 0.0000)
Ac (0.5000, 0.5000, 0.5000)
Er (0.1662, 0.8338, 0.5000)
Er (0.8338, 0.1662, 0.5000)
Se (0.0618, 0.4169, 0.2465)
Se (0.2293, 0.2293, 0.7578)
Se (0.4169, 0.0618, 0.2465)
Se (0.5831, 0.9382, 0.7535)
Se (0.7707, 0.7707, 0.2422)
Se (0.9382, 0.5831, 0.7535)

Properties
theoretical density	5.9	Mg/m³
Fermi-level density of states	0.00	states/eV/cell
energy relative to the elements, uncorrected	-20.15	eV/f.u.
crystal system	monoclinic
symmetry	C2/m, No. 12

=====

No. 3
Here is a geometry-optimized LiAc4Er3Se8 structure from Alexandria. Energies are from PBE.

a b c (Å): 8.6798 8.6798 8.6798
angles (deg): 57.32 57.32 57.32
Positions (direct):
Li (0.0000, 0.0000, 0.0000)
Ac (0.0000, 0.0000, 0.5000)
Ac (0.0000, 0.5000, 0.0000)
Ac (0.5000, 0.0000, 0.0000)
Ac (0.5000, 0.5000, 0.5000)
Er (0.0000, 0.5000, 0.5000)
Er (0.5000, 0.0000, 0.5000)
Er (0.5000, 0.5000, 0.0000)
Se (0.2364, 0.2364, 0.7411)
Se (0.2364, 0.7411, 0.2364)
Se (0.2589, 0.7636, 0.7636)
Se (0.2611, 0.2611, 0.2611)
Se (0.7389, 0.7389, 0.7389)
Se (0.7411, 0.2364, 0.2364)
Se (0.7636, 0.2589, 0.7636)
Se (0.7636, 0.7636, 0.2589)

Properties
theoretical density	7.8	Mg/m³
Fermi-level density of states	9.38	states/eV/cell
energy relative to the elements, uncorrected	-28.09	eV/f.u.
crystal system	trigonal
symmetry	R-3m, No. 166

=====

No. 4
Here is a geometry-optimized Li3Ac2ErSe6 structure from Alexandria. Energies are from PBE.

a b c (Å): 9.2524 9.2524 7.9011
angles (deg): 90.79 90.79 26.63
Positions (direct):
Li (0.0000, 0.0000, 0.0000)
Li (0.3777, 0.3777, 0.7705)
Li (0.6223, 0.6223, 0.2295)
Ac (0.3071, 0.3071, 0.2443)
Ac (0.6929, 0.6929, 0.7557)
Er (0.0000, 0.0000, 0.5000)
Se (0.1573, 0.1573, 0.0255)
Se (0.1586, 0.1586, 0.4727)
Se (0.4841, 0.4841, 0.2565)
Se (0.5159, 0.5159, 0.7435)
Se (0.8414, 0.8414, 0.5273)
Se (0.8427, 0.8427, 0.9745)

Properties
theoretical density	6.1	Mg/m³
Fermi-level density of states	0.00	states/eV/cell
energy relative to the elements, uncorrected	-20.48	eV/f.u.
crystal system	monoclinic
symmetry	C2/m, No. 12

=====

No. 5
Here is a geometry-optimized Li2AcErSi2 structure from Alexandria. Energies are from PBE.

a b c (Å): 4.4879 4.4879 7.6195
angles (deg): 90.00 90.00 120.00
Positions (direct):
Li (0.3333, 0.6667, 0.1853)
Li (0.6667, 0.3333, 0.8147)
Ac (0.0000, 0.0000, 0.5000)
Er (0.0000, 0.0000, 0.0000)
Si (0.3333, 0.6667, 0.7825)
Si (0.6667, 0.3333, 0.2175)

Properties
theoretical density	5.8	Mg/m³
Fermi-level density of states	1.43	states/eV/cell
energy relative to the elements, uncorrected	-3.14	eV/f.u.
crystal system	trigonal
symmetry	P-3m1, No. 164

=====

No. 6
Here is a geometry-optimized LiAcErSi structure from Alexandria. Energies are from PBE.

a b c (Å): 5.2324 5.2324 5.2324
angles (deg): 60.00 60.00 60.00
Positions (direct):
Li (0.0000, 0.0000, 0.0000)
Ac (0.2500, 0.2500, 0.2500)
Er (0.7500, 0.7500, 0.7500)
Si (0.5000, 0.5000, 0.5000)

Properties
theoretical density	7.0	Mg/m³
Fermi-level density of states	2.59	states/eV/cell
energy relative to the elements, uncorrected	-0.85	eV/f.u.
crystal system	cubic
symmetry	F-43m, No. 216

=====

No. 7
Here is a geometry-optimized LiAcSmEr structure from Alexandria. Energies are from PBE.

a b c (Å): 5.7204 5.7204 5.7204
angles (deg): 60.00 60.00 60.00
Positions (direct):
Li (0.0000, 0.0000, 0.0000)
Ac (0.5000, 0.5000, 0.5000)
Sm (0.2500, 0.2500, 0.2500)
Er (0.7500, 0.7500, 0.7500)

Properties
theoretical density	6.9	Mg/m³
Fermi-level density of states	4.17	states/eV/cell
energy of formation	0.2565	eV/atom
crystal system	cubic
symmetry	F-43m, No. 216

=====

No. 8
Here is a geometry-optimized LiAcErSn structure from Alexandria. Energies are from PBE.

a b c (Å): 5.4737 5.4737 5.4737
angles (deg): 60.00 60.00 60.00
Positions (direct):
Li (0.0000, 0.0000, 0.0000)
Ac (0.7500, 0.7500, 0.7500)
Er (0.2500, 0.2500, 0.2500)
Sn (0.5000, 0.5000, 0.5000)

Properties
theoretical density	7.4	Mg/m³
Fermi-level density of states	3.02	states/eV/cell
energy of formation	-0.3218	eV/atom
crystal system	cubic
symmetry	F-43m, No. 216

=====

No. 9
Here is a geometry-optimized Li2AcEr2Sn2 structure from Alexandria. Energies are from PBE.

a b c (Å): 9.6573 9.6573 9.6573
angles (deg): 29.18 29.18 29.18
Positions (direct):
Li (0.0779, 0.0779, 0.0779)
Li (0.9221, 0.9221, 0.9221)
Ac (0.5000, 0.5000, 0.5000)
Er (0.3674, 0.3674, 0.3674)
Er (0.6326, 0.6326, 0.6326)
Sn (0.2461, 0.2461, 0.2461)
Sn (0.7539, 0.7539, 0.7539)

Properties
theoretical density	7.1	Mg/m³
Fermi-level density of states	4.31	states/eV/cell
energy of formation	-0.4608	eV/atom
crystal system	trigonal
symmetry	R-3m, No. 166

=====

No. 10
Here is a geometry-optimized LiAcErSn2 structure from Alexandria. Energies are from PBE.

a b c (Å): 7.3461 7.3461 7.3461
angles (deg): 142.25 142.25 54.44
Positions (direct):
Li (0.0000, 0.0000, 0.0000)
Ac (0.2500, 0.7500, 0.5000)
Er (0.5000, 0.5000, 0.0000)
Sn (0.6382, 0.1382, 0.5000)
Sn (0.8618, 0.3618, 0.5000)

Properties
theoretical density	7.2	Mg/m³
Fermi-level density of states	4.31	states/eV/cell
energy of formation	-0.5604	eV/atom
crystal system	tetragonal
symmetry	I-4m2, No. 119

=====

No. 11
Here is a geometry-optimized LiAc3Er3Te8 structure from Alexandria. Energies are from PBE.

a b c (Å): 9.0892 9.0892 9.0892
angles (deg): 58.80 58.80 58.80
Positions (direct):
Li (0.0000, 0.0000, 0.0000)
Ac (0.0000, 0.0000, 0.5000)
Ac (0.0000, 0.5000, 0.0000)
Ac (0.5000, 0.0000, 0.0000)
Er (0.0000, 0.5000, 0.5000)
Er (0.5000, 0.0000, 0.5000)
Er (0.5000, 0.5000, 0.0000)
Te (0.2456, 0.2456, 0.7360)
Te (0.2456, 0.7360, 0.2456)
Te (0.2594, 0.2594, 0.2594)
Te (0.2640, 0.7544, 0.7544)
Te (0.7360, 0.2456, 0.2456)
Te (0.7406, 0.7406, 0.7406)
Te (0.7544, 0.2640, 0.7544)
Te (0.7544, 0.7544, 0.2640)

Properties
theoretical density	7.1	Mg/m³
Fermi-level density of states	4.48	states/eV/cell
energy relative to the elements, uncorrected	-20.58	eV/f.u.
crystal system	trigonal
symmetry	R-3m, No. 166

=====

No. 12
Here is a geometry-optimized LiAc2ErTe5 structure from Alexandria. Energies are from PBE.

a b c (Å): 9.9048 9.9048 13.4635
angles (deg): 90.00 90.00 153.31
Positions (direct):
Li (0.0602, 0.9398, 0.5000)
Li (0.9398, 0.0602, 0.0000)
Ac (0.3737, 0.6263, 0.3429)
Ac (0.3929, 0.6071, 0.7243)
Ac (0.6071, 0.3929, 0.2243)
Ac (0.6263, 0.3737, 0.8429)
Er (0.3029, 0.6971, 0.0486)
Er (0.6971, 0.3029, 0.5486)
Te (0.0012, 0.9988, 0.8206)
Te (0.1428, 0.8572, 0.0383)
Te (0.1913, 0.8087, 0.3917)
Te (0.2153, 0.7847, 0.7015)
Te (0.4508, 0.5492, 0.1021)
Te (0.5492, 0.4508, 0.6021)
Te (0.7847, 0.2153, 0.2015)
Te (0.8087, 0.1913, 0.8917)
Te (0.8572, 0.1428, 0.5383)
Te (0.9988, 0.0012, 0.3206)

Properties
theoretical density	7.1	Mg/m³
energy relative to the elements, uncorrected	-12.99	eV/f.u.
crystal system	orthorhombic
symmetry	Cmc2_1, No. 36

=====

No. 13
Here is a geometry-optimized Li3AcEr2Te6 structure from Alexandria. Energies are from PBE.

a b c (Å): 7.7047 7.7047 7.5335
angles (deg): 99.84 99.84 120.03
Positions (direct):
Li (0.0000, 0.0000, 0.0000)
Li (0.3341, 0.6659, 0.0000)
Li (0.6659, 0.3341, 0.0000)
Ac (0.5000, 0.5000, 0.5000)
Er (0.1668, 0.8332, 0.5000)
Er (0.8332, 0.1668, 0.5000)
Te (0.0596, 0.4140, 0.2427)
Te (0.2327, 0.2327, 0.7603)
Te (0.4140, 0.0596, 0.2427)
Te (0.5860, 0.9404, 0.7573)
Te (0.7673, 0.7673, 0.2397)
Te (0.9404, 0.5860, 0.7573)

Properties
theoretical density	6.2	Mg/m³
energy relative to the elements, uncorrected	-15.51	eV/f.u.
crystal system	monoclinic
symmetry	C2/m, No. 12

=====

No. 14
Here is a geometry-optimized LiAcEr2Te4 structure from Alexandria. Energies are from PBE.

a b c (Å): 7.6729 7.6729 15.0606
angles (deg): 90.00 90.00 146.59
Positions (direct):
Li (0.1440, 0.8560, 0.7500)
Li (0.8560, 0.1440, 0.2500)
Ac (0.1282, 0.8718, 0.2500)
Ac (0.8718, 0.1282, 0.7500)
Er (0.3709, 0.6291, 0.0610)
Er (0.3709, 0.6291, 0.4390)
Er (0.6291, 0.3709, 0.5610)
Er (0.6291, 0.3709, 0.9390)
Te (0.0000, 0.0000, 0.0000)
Te (0.0000, 0.0000, 0.5000)
Te (0.2689, 0.7311, 0.6159)
Te (0.2689, 0.7311, 0.8841)
Te (0.4584, 0.5416, 0.2500)
Te (0.5416, 0.4584, 0.7500)
Te (0.7311, 0.2689, 0.1159)
Te (0.7311, 0.2689, 0.3841)

Properties
theoretical density	7.3	Mg/m³
Fermi-level density of states	11.27	states/eV/cell
energy relative to the elements, uncorrected	-10.01	eV/f.u.
crystal system	orthorhombic
symmetry	Cmcm, No. 63

=====

No. 15
Here is a geometry-optimized Li2Ac2ErTl5 structure from Alexandria. Energies are from PBE.

a b c (Å): 11.7519 11.7519 3.9815
angles (deg): 90.00 90.00 90.00
Positions (direct):
Li (0.1223, 0.3777, 0.0000)
Li (0.3777, 0.8777, 0.0000)
Li (0.6223, 0.1223, 0.0000)
Li (0.8777, 0.6223, 0.0000)
Ac (0.1749, 0.6749, 0.0000)
Ac (0.3251, 0.1749, 0.0000)
Ac (0.6749, 0.8251, 0.0000)
Ac (0.8251, 0.3251, 0.0000)
Er (0.0000, 0.0000, 0.0000)
Er (0.5000, 0.5000, 0.0000)
Tl (0.0000, 0.5000, 0.5000)
Tl (0.0638, 0.2086, 0.5000)
Tl (0.2086, 0.9362, 0.5000)
Tl (0.2914, 0.4362, 0.5000)
Tl (0.4362, 0.7086, 0.5000)
Tl (0.5000, 0.0000, 0.5000)
Tl (0.5638, 0.2914, 0.5000)
Tl (0.7086, 0.5638, 0.5000)
Tl (0.7914, 0.0638, 0.5000)
Tl (0.9362, 0.7914, 0.5000)

Properties
theoretical density	10.0	Mg/m³
Fermi-level density of states	12.89	states/eV/cell
energy of formation	-0.3007	eV/atom
crystal system	tetragonal
symmetry	P4/mbm, No. 127

=====

No. 16
Here is a geometry-optimized AcErLu2 structure from Alexandria. Energies are from PBE.

a b c (Å): 4.0846 4.0846 8.0402
angles (deg): 90.00 90.00 90.00
Positions (direct):
Ac (0.0000, 0.0000, 0.0000)
Er (0.0000, 0.0000, 0.5000)
Lu (0.5000, 0.5000, 0.2761)
Lu (0.5000, 0.5000, 0.7239)

Properties
theoretical density	9.2	Mg/m³
Fermi-level density of states	5.74	states/eV/cell
energy of formation	0.0939	eV/atom
crystal system	tetragonal
symmetry	P4/mmm, No. 123

=====

No. 17
Here is a geometry-optimized AcErLu2 structure from Alexandria. Energies are from PBE.

a b c (Å): 5.1536 5.1536 5.0042
angles (deg): 90.00 90.00 90.00
Positions (direct):
Ac (0.0000, 0.0000, 0.0000)
Er (0.5000, 0.5000, 0.0000)
Lu (0.0000, 0.5000, 0.5000)
Lu (0.5000, 0.0000, 0.5000)

Properties
theoretical density	9.3	Mg/m³
Fermi-level density of states	7.27	states/eV/cell
energy of formation	0.0831	eV/atom
crystal system	tetragonal
symmetry	P4/mmm, No. 123

=====

No. 18
Here is a geometry-optimized AcErLu2 structure from Alexandria. Energies are from PBE.

a b c (Å): 11.7017 11.7017 11.7017
angles (deg): 17.91 17.91 17.91
Positions (direct):
Ac (0.0000, 0.0000, 0.0000)
Er (0.5000, 0.5000, 0.5000)
Lu (0.2464, 0.2464, 0.2464)
Lu (0.7536, 0.7536, 0.7536)

Properties
theoretical density	9.3	Mg/m³
Fermi-level density of states	5.19	states/eV/cell
energy of formation	0.0831	eV/atom
crystal system	trigonal
symmetry	R-3m, No. 166

=====

No. 19
Here is a geometry-optimized AcErLu2 structure from Alexandria. Energies are from PBE.

a b c (Å): 5.7365 5.7365 5.7365
angles (deg): 60.00 60.00 60.00
Positions (direct):
Ac (0.0000, 0.0000, 0.0000)
Er (0.5000, 0.5000, 0.5000)
Lu (0.2500, 0.2500, 0.2500)
Lu (0.7500, 0.7500, 0.7500)

Properties
theoretical density	9.3	Mg/m³
Fermi-level density of states	4.76	states/eV/cell
energy of formation	0.1121	eV/atom
crystal system	cubic
symmetry	Fm-3m, No. 225

=====

No. 20
Here is a geometry-optimized AcErLuMg structure from Alexandria. Energies are from PBE.

a b c (Å): 5.6539 5.6539 5.6539
angles (deg): 60.00 60.00 60.00
Positions (direct):
Ac (0.0000, 0.0000, 0.0000)
Er (0.5000, 0.5000, 0.5000)
Lu (0.2500, 0.2500, 0.2500)
Mg (0.7500, 0.7500, 0.7500)

Properties
theoretical density	7.7	Mg/m³
Fermi-level density of states	4.50	states/eV/cell
energy of formation	0.0555	eV/atom
crystal system	cubic
symmetry	F-43m, No. 216

=====

No. 21
Here is a geometry-optimized AcPrErLu structure from Alexandria. Energies are from PBE.

a b c (Å): 5.8406 5.8406 5.8406
angles (deg): 60.00 60.00 60.00
Positions (direct):
Ac (0.0000, 0.0000, 0.0000)
Pr (0.5000, 0.5000, 0.5000)
Er (0.7500, 0.7500, 0.7500)
Lu (0.2500, 0.2500, 0.2500)

Properties
theoretical density	8.4	Mg/m³
Fermi-level density of states	6.34	states/eV/cell
energy of formation	0.0943	eV/atom
crystal system	cubic
symmetry	F-43m, No. 216

=====

No. 22
Here is a geometry-optimized AcTbErLu structure from Alexandria. Energies are from PBE.

a b c (Å): 5.7796 5.7796 5.7796
angles (deg): 60.00 60.00 60.00
Positions (direct):
Ac (0.0000, 0.0000, 0.0000)
Tb (0.5000, 0.5000, 0.5000)
Er (0.2500, 0.2500, 0.2500)
Lu (0.7500, 0.7500, 0.7500)

Properties
theoretical density	8.9	Mg/m³
Fermi-level density of states	5.62	states/eV/cell
energy of formation	0.1126	eV/atom
crystal system	cubic
symmetry	F-43m, No. 216

=====

No. 23
Here is a geometry-optimized AcErLuTl structure from Alexandria. Energies are from PBE.

a b c (Å): 5.5896 5.5896 5.5896
angles (deg): 60.00 60.00 60.00
Positions (direct):
Ac (0.0000, 0.0000, 0.0000)
Er (0.7500, 0.7500, 0.7500)
Lu (0.2500, 0.2500, 0.2500)
Tl (0.5000, 0.5000, 0.5000)

Properties
theoretical density	10.4	Mg/m³
Fermi-level density of states	5.89	states/eV/cell
energy of formation	0.1015	eV/atom
crystal system	cubic
symmetry	F-43m, No. 216

=====

No. 24
Here is a geometry-optimized AcErTmLu structure from Alexandria. Energies are from PBE.

a b c (Å): 5.7508 5.7508 5.7508
angles (deg): 60.00 60.00 60.00
Positions (direct):
Ac (0.0000, 0.0000, 0.0000)
Er (0.5000, 0.5000, 0.5000)
Tm (0.7500, 0.7500, 0.7500)
Lu (0.2500, 0.2500, 0.2500)

Properties
theoretical density	9.1	Mg/m³
Fermi-level density of states	5.15	states/eV/cell
energy of formation	0.1183	eV/atom
crystal system	cubic
symmetry	F-43m, No. 216